Density functional theory data (PBE) for crystalline SbAs2Br at its relaxed geometry.

Calculated values
ρ in g cm⁻³: 5.82
Energy above the most stable polymorph in this dataset in kJ/mol of formula units: 96.4
Size of the total moment in μB per atom: 0.000
ΔE_f (raw) in eV/atom: 0.21

abc: 3.731 3.731 7.207
angles: 90.00 90.00 90.00
Space group P4/mmm (No. 123)
Unique sites:
Sb 0.000 0.000 0.000 [1 per cell]
As 0.500 0.500 0.186 [2 per cell]
Br 0.000 0.000 0.500 [1 per cell]